[1]
A PBEsol-optimized structure of KCrTe2. Source: Alexandria via LeMat-Bulk, functional meta-GGA SCAN.

Cell: 3.5421 3.5421 8.3631 Å, 90.00 90.00 90.00°
Site moments in Bohr magnetons follow the coordinates.
Sites, in units of the cell vectors:
1 Cr 0.5000 0.5000 0.0000  3.73
2 K 0.5000 0.5000 0.5000  0.00
3 Te 0.0000 0.0000 0.8044  -0.28
4 Te 0.0000 0.0000 0.1956  -0.28

- Raw formation energy: -0.38 eV per atom
- Magnetic moment: 0.83 μB per atom
- Symmetry: No. 123

[2]
A PBEsol-optimized structure of TaRe. Source: Alexandria via LeMat-Bulk, functional meta-GGA SCAN.

Cell: 3.1644 3.1644 6.3936 Å, 90.00 90.00 90.00°
Sites, in units of the cell vectors:
1 Re 0.5000 0.0000 0.1241
2 Re 0.0000 0.5000 0.8759
3 Ta 0.5000 0.0000 0.6325
4 Ta 0.0000 0.5000 0.3675

- Formation energy: -0.483 eV/f.u.
- Magnetic moment: 0.00 μB per atom
- Symmetry: No. 129

[3]
A PBEsol-optimized structure of Ba2ZnBr. Source: Alexandria via LeMat-Bulk, functional meta-GGA SCAN.

Cell: 4.5750 4.5750 8.7159 Å, 74.78 74.78 60.00°
Site moments in Bohr magnetons follow the coordinates.
Sites, in units of the cell vectors:
1 Zn 0.0000 0.0000 0.0000  0.08
2 Ba 0.7478 0.7478 0.7566  0.09
3 Ba 0.2522 0.2522 0.2434  0.09
4 Br 0.5000 0.5000 0.5000  0.00

- Raw formation energy: -0.96 eV per atom
- Magnetic moment: 0.22 μB per atom
- Symmetry: No. 166
- Distance to the lowest polymorph of the same formula: 0.000 eV/f.u.

[4]
A PBEsol-optimized structure of SrLaSi2. Source: Alexandria via LeMat-Bulk, functional meta-GGA SCAN.

Cell: 3.9525 4.5855 6.0756 Å, 112.17 90.00 90.00°
Sites, in units of the cell vectors:
1 Sr 0.0000 0.1077 0.2153
2 Si 0.0000 0.8194 0.6388
3 Si 0.5000 0.6874 0.3749
4 La 0.5000 0.3911 0.7823

- Raw formation energy: -0.61 eV per atom
- Magnetic moment: 0.00 μB per atom
- Symmetry: No. 38

[5]
A PBEsol-optimized structure of YNbTe2N. Source: Alexandria via LeMat-Bulk, functional meta-GGA SCAN.

Cell: 4.0174 5.7410 5.7410 Å, 90.00 90.00 90.00°
Site moments in Bohr magnetons follow the coordinates.
Sites, in units of the cell vectors:
1 Y 0.0000 0.0000 0.0000  0.01
2 Nb 0.5000 0.5000 0.5000  2.37
3 Te 0.0000 0.0000 0.5000  -0.30
4 Te 0.0000 0.5000 0.0000  -0.30
5 N 0.5000 0.0000 0.0000  -0.42

- Raw formation energy: 0.48 eV per atom
- Magnetic moment: 0.34 μB per atom
- Symmetry: No. 123

[6]
A PBEsol-optimized structure of Na4Zr2Ge5O17. Source: Alexandria via LeMat-Bulk, functional meta-GGA SCAN.

Cell: 5.4543 7.0221 20.3534 Å, 92.35 90.00 90.00°
Site moments in Bohr magnetons follow the coordinates.
Sites, in units of the cell vectors:
1 Na 0.0087 0.4511 0.7087  0.00
2 Na 0.0087 0.0489 0.7913  0.00
3 Na 0.9913 0.5489 0.2913  0.00
4 Na 0.9913 0.9511 0.2087  0.00
5 Na 0.7594 0.1386 0.5266  0.00
6 Na 0.7594 0.3614 0.9734  0.00
7 Na 0.2406 0.8614 0.4734  0.00
8 Na 0.2406 0.6386 0.0266  0.00
9 Zr 0.7658 0.7031 0.5891  0.00
10 Zr 0.7658 0.7969 0.9109  0.00
11 Zr 0.2342 0.2969 0.4109  0.00
12 Zr 0.2342 0.2031 0.0891  0.00
13 Ge 0.2901 0.3870 0.5765  0.00
14 Ge 0.2901 0.1130 0.9235  0.00
15 Ge 0.7099 0.6130 0.4235  0.00
16 Ge 0.7099 0.8870 0.0765  0.00
17 Ge 0.2547 0.5117 0.8649  0.00
18 Ge 0.2547 0.9883 0.6351  0.00
19 Ge 0.7453 0.4883 0.1351  0.00
20 Ge 0.7453 0.0117 0.3649  0.00
21 Ge 0.4969 0.7500 0.7500  0.00
22 Ge 0.5031 0.2500 0.2500  0.00
23 O 0.0965 0.5707 0.6044  0.00
24 O 0.0965 0.9293 0.8956  0.00
25 O 0.9035 0.4293 0.3956  0.00
26 O 0.9035 0.0707 0.1044  0.00
27 O 0.5959 0.4458 0.5627  0.02
28 O 0.5959 0.0542 0.9373  0.02
29 O 0.4041 0.5542 0.4373  0.02
30 O 0.4041 0.9458 0.0627  0.02
31 O 0.6744 0.6484 0.6873  0.04
32 O 0.6744 0.8516 0.8127  0.04
33 O 0.3256 0.3516 0.3127  0.04
34 O 0.3256 0.1484 0.1873  0.04
35 O 0.1687 0.2510 0.5100  0.00
36 O 0.1687 0.2490 0.9900  0.00
37 O 0.8313 0.7490 0.4900  0.00
38 O 0.8313 0.7510 0.0100  0.00
39 O 0.9514 0.5435 0.8884  0.01
40 O 0.9514 0.9565 0.6116  0.01
41 O 0.0486 0.4565 0.1116  0.01
42 O 0.0486 0.0435 0.3884  0.01
43 O 0.4664 0.6095 0.9206  0.00
44 O 0.4664 0.8905 0.5794  0.00
45 O 0.5336 0.3905 0.0794  0.00
46 O 0.5336 0.1095 0.4206  0.00
47 O 0.2893 0.2398 0.6470  0.03
48 O 0.2893 0.2602 0.8530  0.03
49 O 0.7107 0.7602 0.3530  0.03
50 O 0.7107 0.7398 0.1470  0.03
51 O 0.2889 0.5822 0.7821  0.01
52 O 0.2889 0.9178 0.7179  0.01
53 O 0.7111 0.4178 0.2179  0.01
54 O 0.7111 0.0822 0.2821  0.01
55 O 0.6521 0.2500 0.7500  1.46
56 O 0.3479 0.7500 0.2500  1.46

- Raw formation energy: -2.14 eV per atom
- Magnetic moment: 0.07 μB per atom
- Symmetry: No. 13

[7]
A PBEsol-optimized structure of AgBiAs3. Source: Alexandria via LeMat-Bulk, functional meta-GGA SCAN.

Cell: 4.9443 4.9443 4.9443 Å, 90.00 90.00 90.00°
Sites, in units of the cell vectors:
1 As 0.0000 0.5000 0.0000
2 As 0.0000 0.0000 0.5000
3 As 0.5000 0.0000 0.0000
4 Bi 0.5000 0.5000 0.5000
5 Ag 0.0000 0.0000 0.0000

- Formation energy: 4.054 eV/f.u.
- Magnetic moment: 0.00 μB per atom
- Symmetry: No. 221

[8]
A PBEsol-optimized structure of La2AlW. Source: Alexandria via LeMat-Bulk, functional meta-GGA SCAN.

Cell: 3.0038 3.0038 10.1298 Å, 90.00 90.00 90.00°
Sites, in units of the cell vectors:
1 Al 0.5000 0.5000 0.5000
2 W 0.5000 0.5000 0.0000
3 La 0.0000 0.0000 0.7559
4 La 0.0000 0.0000 0.2441

- Formation energy: 1.787 eV/f.u.
- Magnetic moment: 0.00 μB per atom
- Symmetry: No. 123